Density functional theory data (PBEsol) for a relaxed structure of CaCr2N2.

Properties
- SG = P-4m2 (115)
- crystal system = tetragonal
- ΔE_f (raw) (meV per atom) = -168

Cell and atoms, written as CIF:
```
data_CaCr2N2
_cell_length_a 3.143
_cell_length_b 3.143
_cell_length_c 7.226
_cell_angle_alpha 90.00
_cell_angle_beta 90.00
_cell_angle_gamma 90.00
_space_group_name_H-M_alt 'P 1'
_space_group_IT_number 1
loop_
_space_group_symop_operation_xyz
'x,y,z'
loop_
_atom_site_label
_atom_site_fract_x
_atom_site_fract_y
_atom_site_fract_z
_atom_site_occupancy
Ca1 0.500 0.500 0.000 1
Cr1 0.000 0.000 0.653 1
Cr2 0.000 0.000 0.347 1
N1 0.000 0.500 0.229 1
N2 0.500 0.000 0.771 1
```

Density functional theory data (PBEsol) for a relaxed structure of Ca4CrN4.

Properties
- distance to the lowest polymorph of the same formula (kJ per mole of atoms) = 0.5
- SG = P-1 (2)
- crystal system = triclinic
- ΔE_f (raw) (meV per atom) = -995

Cell and atoms, written as CIF:
```
data_Ca4CrN4
_cell_length_a 5.820
_cell_length_b 5.968
_cell_length_c 8.637
_cell_angle_alpha 71.84
_cell_angle_beta 79.55
_cell_angle_gamma 68.48
_space_group_name_H-M_alt 'P 1'
_space_group_IT_number 1
loop_
_space_group_symop_operation_xyz
'x,y,z'
loop_
_atom_site_label
_atom_site_fract_x
_atom_site_fract_y
_atom_site_fract_z
_atom_site_occupancy
Ca1 0.787 0.569 0.169 1
Ca2 0.213 0.431 0.831 1
Ca3 0.731 0.214 0.974 1
Ca4 0.269 0.786 0.026 1
Ca5 0.731 0.485 0.572 1
Ca6 0.269 0.515 0.428 1
Ca7 0.225 0.961 0.618 1
Ca8 0.775 0.039 0.382 1
Cr1 0.720 0.845 0.754 1
Cr2 0.280 0.155 0.246 1
N1 0.959 0.714 0.612 1
N2 0.041 0.286 0.388 1
N3 0.895 0.824 0.912 1
N4 0.105 0.176 0.088 1
N5 0.528 0.639 0.803 1
N6 0.472 0.361 0.197 1
N7 0.469 0.846 0.347 1
N8 0.531 0.154 0.653 1
```

Quick rundown of uncorrected energy, same order as above: -8.10 -6.87 eV/atom
Quick rundown of Fermi-level density of states, same order as above: 0.37 0.44 states/eV/atom
Quick rundown of magnetic moment, same order as above: 0.3663 0.0581 μB/atom